Entry 1:
First-principles (PBE) data for a relaxed structure of NdY3Er6, as listed in the Alexandria database.

- E above lowest polymorph (meV per atom) = 0
- total moment (μB/cell) = 0.0
- formation energy (eV/atom) = 0.142

Cell: 6.152 10.941 10.941 Å, 119.47 90.00 90.00°
Positions (direct):
Y1 0.959 0.065 0.281
Nd1 0.655 0.791 0.209
Er1 0.366 0.035 0.458
Y2 0.069 0.391 0.609
Er2 0.137 0.714 0.286
Y3 0.569 0.609 0.391
Er3 0.923 0.048 0.952
Er4 0.637 0.286 0.714
Y4 0.459 0.281 0.065
Nd2 0.155 0.209 0.791
Er5 0.026 0.383 0.287
Er6 0.866 0.965 0.542
Er7 0.526 0.617 0.713
Y5 0.959 0.719 0.935
Er8 0.026 0.713 0.617
Er9 0.423 0.952 0.048
Er10 0.526 0.287 0.383
Er11 0.866 0.458 0.035
Y6 0.459 0.935 0.719
Er12 0.366 0.542 0.965

---

Entry 2:
First-principles (PBE) data for a relaxed structure of Nd2Y2Er7, as listed in the Alexandria database.

- total moment (μB/cell) = 0.0
- formation energy (eV/atom) = 0.154

Cell: 6.078 8.035 8.035 Å, 91.12 73.35 73.35°
Positions (direct):
Er1 0.576 0.768 0.768
Y1 0.500 0.789 0.211
Nd1 0.192 0.595 0.595
Er2 0.000 0.000 0.000
Er3 0.822 0.411 0.937
Nd2 0.808 0.405 0.405
Er4 0.424 0.232 0.232
Er5 0.178 0.063 0.589
Y2 0.500 0.211 0.789
Er6 0.178 0.589 0.063
Er7 0.822 0.937 0.411